Record 1
A relaxed PmCoSnPt crystal, computed with GGA-PBE.

Results
total energy	-23.7	eV/f.u.
symmetry	F-43m (216)
energy of formation from the pure elements	-0.4600	eV/atom

Lattice parameters (Å, degrees): 4.7956 4.7956 4.7956 60.00 60.00 60.00
Fractional coordinates of all 4 atoms:
Pm 0.0000 0.0000 0.0000
Co 0.2500 0.2500 0.2500
Sn 0.5000 0.5000 0.5000
Pt 0.7500 0.7500 0.7500

Record 2
A relaxed TbPmCoPt crystal, computed with GGA-PBE.

Results
total energy	-24.8	eV/f.u.
symmetry	F-43m (216)
energy of formation from the pure elements	-0.5671	eV/atom

Lattice parameters (Å, degrees): 4.9255 4.9255 4.9255 60.00 60.00 60.00
Fractional coordinates of all 4 atoms:
Tb 0.0000 0.0000 0.0000
Pm 0.5000 0.5000 0.5000
Co 0.7500 0.7500 0.7500
Pt 0.2500 0.2500 0.2500

Record 3
A relaxed Pm2Th2CoPt2 crystal, computed with GGA-PBE.

Results
total energy	-48.1	eV/f.u.
symmetry	P-1 (2)
energy of formation from the pure elements	-0.6462	eV/atom

Lattice parameters (Å, degrees): 4.1294 7.1065 7.3162 115.72 106.30 90.06
Fractional coordinates of all 7 atoms:
Pm 0.0189 0.2534 0.0379
Pm 0.9811 0.7466 0.9621
Th 0.2902 0.2600 0.5804
Th 0.7098 0.7400 0.4196
Co 0.5000 0.5000 0.0000
Pt 0.3670 0.9296 0.7349
Pt 0.6330 0.0704 0.2651

Record 4
A relaxed PmTmCoPt crystal, computed with GGA-PBE.

Results
total energy	-24.8	eV/f.u.
symmetry	F-43m (216)
energy of formation from the pure elements	-0.6044	eV/atom

Lattice parameters (Å, degrees): 4.8840 4.8840 4.8840 60.00 60.00 60.00
Fractional coordinates of all 4 atoms:
Pm 0.0000 0.0000 0.0000
Tm 0.5000 0.5000 0.5000
Co 0.2500 0.2500 0.2500
Pt 0.7500 0.7500 0.7500